# CaMn2Si (PBE, relaxed)
# total energy = -25.36 eV for the cell shown
data_CaMn2Si
_chemical_formula_sum 'Ca1 Mn2 Si1'
_symmetry_space_group_name_H-M 'P 1'
_symmetry_Int_Tables_number 1
_symmetry_space_group_name_Hall 'P 1'
_cell_length_a 2.8914
_cell_length_b 2.8914
_cell_length_c 7.2497
_cell_angle_alpha 90.00
_cell_angle_beta 90.00
_cell_angle_gamma 90.00
loop_
_atom_site_label
_atom_site_type_symbol
_atom_site_fract_x
_atom_site_fract_y
_atom_site_fract_z
Ca1 Ca 0.0000 0.0000 0.0000
Mn1 Mn 0.0000 0.0000 0.4852
Mn2 Mn 0.5000 0.5000 0.3241
Si1 Si 0.5000 0.5000 0.6855

***

# CaMnSi (PBE, relaxed)
# total energy = -56.75 eV for the cell shown
data_CaMnSi
_chemical_formula_sum 'Ca4 Mn4 Si4'
_symmetry_space_group_name_H-M 'P 1'
_symmetry_Int_Tables_number 1
_symmetry_space_group_name_Hall 'P 1'
_cell_length_a 6.7148
_cell_length_b 6.7148
_cell_length_c 6.7148
_cell_angle_alpha 90.00
_cell_angle_beta 90.00
_cell_angle_gamma 90.00
loop_
_atom_site_label
_atom_site_type_symbol
_atom_site_fract_x
_atom_site_fract_y
_atom_site_fract_z
Ca1 Ca 0.0000 0.0000 0.0000
Ca2 Ca 0.0000 0.5000 0.5000
Ca3 Ca 0.5000 0.0000 0.5000
Ca4 Ca 0.5000 0.5000 0.0000
Mn1 Mn 0.2500 0.2500 0.2500
Mn2 Mn 0.2500 0.7500 0.7500
Mn3 Mn 0.7500 0.2500 0.7500
Mn4 Mn 0.7500 0.7500 0.2500
Si1 Si 0.2500 0.2500 0.7500
Si2 Si 0.2500 0.7500 0.2500
Si3 Si 0.7500 0.2500 0.2500
Si4 Si 0.7500 0.7500 0.7500

***

# CaMn2Si (PBE, relaxed)
# total energy = -97.50 eV for the cell shown
data_CaMn2Si
_chemical_formula_sum 'Ca4 Mn8 Si4'
_symmetry_space_group_name_H-M 'P 1'
_symmetry_Int_Tables_number 1
_symmetry_space_group_name_Hall 'P 1'
_cell_length_a 4.3872
_cell_length_b 4.3872
_cell_length_c 16.9023
_cell_angle_alpha 90.00
_cell_angle_beta 90.00
_cell_angle_gamma 90.00
loop_
_atom_site_label
_atom_site_type_symbol
_atom_site_fract_x
_atom_site_fract_y
_atom_site_fract_z
Ca1 Ca 0.0000 0.2500 0.3750
Ca2 Ca 0.0000 0.7500 0.6250
Ca3 Ca 0.5000 0.2500 0.1250
Ca4 Ca 0.5000 0.7500 0.8750
Mn1 Mn 0.0000 0.0000 0.0000
Mn2 Mn 0.0000 0.5000 0.0000
Mn3 Mn 0.2500 0.2500 0.7500
Mn4 Mn 0.2500 0.7500 0.2500
Mn5 Mn 0.5000 0.0000 0.5000
Mn6 Mn 0.5000 0.5000 0.5000
Mn7 Mn 0.7500 0.2500 0.7500
Mn8 Mn 0.7500 0.7500 0.2500
Si1 Si 0.0000 0.2500 0.8750
Si2 Si 0.0000 0.7500 0.1250
Si3 Si 0.5000 0.2500 0.6250
Si4 Si 0.5000 0.7500 0.3750

***

# Ca3MnSi (PBE, relaxed)
# total energy = -17.45 eV for the cell shown
data_Ca3MnSi
_chemical_formula_sum 'Ca3 Mn1 Si1'
_symmetry_space_group_name_H-M 'P 1'
_symmetry_Int_Tables_number 1
_symmetry_space_group_name_Hall 'P 1'
_cell_length_a 5.3292
_cell_length_b 5.3292
_cell_length_c 5.3292
_cell_angle_alpha 90.00
_cell_angle_beta 90.00
_cell_angle_gamma 90.00
loop_
_atom_site_label
_atom_site_type_symbol
_atom_site_fract_x
_atom_site_fract_y
_atom_site_fract_z
Ca1 Ca 0.0000 0.0000 0.5000
Ca2 Ca 0.0000 0.5000 0.0000
Ca3 Ca 0.5000 0.0000 0.0000
Mn1 Mn 0.0000 0.0000 0.0000
Si1 Si 0.5000 0.5000 0.5000

***

# Ca2MnSi (PBE, relaxed)
# total energy = -35.79 eV for the cell shown
data_Ca2MnSi
_chemical_formula_sum 'Ca4 Mn2 Si2'
_symmetry_space_group_name_H-M 'P 1'
_symmetry_Int_Tables_number 1
_symmetry_space_group_name_Hall 'P 1'
_cell_length_a 4.8864
_cell_length_b 4.8864
_cell_length_c 6.8843
_cell_angle_alpha 90.00
_cell_angle_beta 90.00
_cell_angle_gamma 90.00
loop_
_atom_site_label
_atom_site_type_symbol
_atom_site_fract_x
_atom_site_fract_y
_atom_site_fract_z
Ca1 Ca 0.0000 0.0000 0.0000
Ca2 Ca 0.0000 0.5000 0.2500
Ca3 Ca 0.5000 0.0000 0.7500
Ca4 Ca 0.5000 0.5000 0.5000
Mn1 Mn 0.0000 0.5000 0.7500
Mn2 Mn 0.5000 0.0000 0.2500
Si1 Si 0.0000 0.0000 0.5000
Si2 Si 0.5000 0.5000 0.0000

***

# Ca2MnSi (PBE, relaxed)
# total energy = -51.45 eV for the cell shown
data_Ca2MnSi
_chemical_formula_sum 'Ca6 Mn3 Si3'
_symmetry_space_group_name_H-M 'P 1'
_symmetry_Int_Tables_number 1
_symmetry_space_group_name_Hall 'P 1'
_cell_length_a 3.5727
_cell_length_b 3.5727
_cell_length_c 28.7813
_cell_angle_alpha 90.00
_cell_angle_beta 90.00
_cell_angle_gamma 120.00
loop_
_atom_site_label
_atom_site_type_symbol
_atom_site_fract_x
_atom_site_fract_y
_atom_site_fract_z
Ca1 Ca 0.0000 0.0000 0.2412
Ca2 Ca 0.0000 0.0000 0.7588
Ca3 Ca 0.3333 0.6667 0.4255
Ca4 Ca 0.3333 0.6667 0.9078
Ca5 Ca 0.6667 0.3333 0.0922
Ca6 Ca 0.6667 0.3333 0.5745
Mn1 Mn 0.0000 0.0000 0.0000
Mn2 Mn 0.3333 0.6667 0.6667
Mn3 Mn 0.6667 0.3333 0.3333
Si1 Si 0.0000 0.0000 0.5000
Si2 Si 0.3333 0.6667 0.1667
Si3 Si 0.6667 0.3333 0.8333